Compound: KAlTl
Source: the Alexandria database
Functional: GGA-PBE
Structure: relaxed

Lattice parameters (Å, degrees): 8.114 4.592 12.128 90.00 90.33 90.00
Space group C2/m (No. 12)
Symmetry-distinct sites (fractional):
1 K 0.170 0.000 0.160 (multiplicity 4)
2 Al 0.166 0.000 0.505 (multiplicity 4)
3 Tl 0.000 0.500 0.356 (multiplicity 4)

Computed properties:
energy above the most stable polymorph in this dataset: 18.7 meV/atom
D(E_F): 1.25 states/eV/f.u.
total energy: -2.37 eV/atom
formation enthalpy at 0 K: 0.03 eV per atom